Density functional theory data (PBE) for a relaxed structure of Si3IN.

Summary:
Fermi-level density of states = 4.546 states/eV/cell
Uncorrected energy = -12.14 eV/cell
Formation energy (no corrections) = 2800 meV/atom
Magnetic moment = 0.00 μB per atom
Energy above the lowest structure with this stoichiometry = 1730 meV/atom

POSCAR file:
```
Si3IN
1.0
-1.486 -2.492 -4.449
4.224 -3.197 0.380
-2.856 -3.432 2.876
N Si I
1 3 1
Cartesian
-0.059 -4.561 -0.596
-1.428 -1.716 1.438
-0.743 -1.246 -2.224
2.112 -1.598 0.190
0.000 0.000 0.000
```